Record 1
# MgMnTl2Ru, optimized geometry, DFT PBE-GGA
# E_tot ... -4.26 eV per atom
# Density of states at the Fermi level ... 0.638 states/eV per atom
# Energy of formation from the pure elements ... 698 meV/atom
data_MgMnTl2Ru
_space_group_name_H-M_alt 'P 4/m m m'
_space_group_IT_number 123
_space_group_name_Hall '-P 4 2'
_cell_length_a 5.236
_cell_length_b 5.236
_cell_length_c 4.954
_cell_angle_alpha 90.00
_cell_angle_beta 90.00
_cell_angle_gamma 90.00
loop_
_atom_site_label
_atom_site_type_symbol
_atom_site_fract_x
_atom_site_fract_y
_atom_site_fract_z
_atom_site_occupancy
Mg1 Mg 0.000 0.000 0.000 1
Mn1 Mn 0.500 0.500 0.000 1
Tl1 Tl 0.000 0.500 0.500 1
Ru1 Ru 0.000 0.000 0.500 1



Record 2
# Sc2MnZnW, optimized geometry, DFT PBE-GGA
# E_tot ... -6.38 eV per atom
# Density of states at the Fermi level ... 0.902 states/eV per atom
# Energy of formation from the pure elements ... 832 meV/atom
data_Sc2MnZnW
_space_group_name_H-M_alt 'P 4/m m m'
_space_group_IT_number 123
_space_group_name_Hall '-P 4 2'
_cell_length_a 5.131
_cell_length_b 5.131
_cell_length_c 4.514
_cell_angle_alpha 90.00
_cell_angle_beta 90.00
_cell_angle_gamma 90.00
loop_
_atom_site_label
_atom_site_type_symbol
_atom_site_fract_x
_atom_site_fract_y
_atom_site_fract_z
_atom_site_occupancy
Sc1 Sc 0.000 0.500 0.000 1
Mn1 Mn 0.000 0.000 0.500 1
Zn1 Zn 0.500 0.500 0.500 1
W1 W 0.000 0.000 0.000 1



Record 3
# Tb3Pm4Ho2, optimized geometry, DFT PBE-GGA
# E_tot ... -4.66 eV per atom
# Energy above the most stable polymorph in this dataset ... 0 meV per atom
# Density of states at the Fermi level ... 1.197 states/eV per atom
# Energy of formation from the pure elements ... 14 meV/atom
data_Tb3Pm4Ho2
_space_group_name_H-M_alt 'C 1 2/m 1'
_space_group_IT_number 12
_cell_length_a 11.877
_cell_length_b 3.599
_cell_length_c 14.802
_cell_angle_alpha 90.00
_cell_angle_beta 111.54
_cell_angle_gamma 90.00
loop_
_space_group_symop_operation_xyz
'x,y,z'
'-x,-y,-z'
'-x,y,-z'
'x,-y,z'
'x+1/2,y+1/2,z'
'-x+1/2,-y+1/2,-z'
'-x+1/2,y+1/2,-z'
'x+1/2,-y+1/2,z'
loop_
_atom_site_label
_atom_site_type_symbol
_atom_site_fract_x
_atom_site_fract_y
_atom_site_fract_z
_atom_site_occupancy
Tb1 Tb 0.000 0.000 0.000 1
Tb2 Tb 0.112 0.000 0.444 1
Pm1 Pm 0.167 0.500 0.666 1
Pm2 Pm 0.222 0.000 0.889 1
Ho1 Ho 0.056 0.500 0.223 1



Record 4
# LiFeTcAu2, optimized geometry, DFT PBE-GGA
# E_tot ... -4.39 eV per atom
# Density of states at the Fermi level ... 0.916 states/eV per atom
# Energy of formation from the pure elements ... 1071 meV/atom
data_LiFeTcAu2
_space_group_name_H-M_alt 'P 4/m m m'
_space_group_IT_number 123
_space_group_name_Hall '-P 4 2'
_cell_length_a 4.773
_cell_length_b 4.773
_cell_length_c 4.224
_cell_angle_alpha 90.00
_cell_angle_beta 90.00
_cell_angle_gamma 90.00
loop_
_atom_site_label
_atom_site_type_symbol
_atom_site_fract_x
_atom_site_fract_y
_atom_site_fract_z
_atom_site_occupancy
Li1 Li 0.000 0.000 0.000 1
Fe1 Fe 0.000 0.000 0.500 1
Tc1 Tc 0.500 0.500 0.000 1
Au1 Au 0.000 0.500 0.500 1



Record 5
# KAgPt3, optimized geometry, DFT PBE-GGA
# E_tot ... -2.40 eV per atom
# Energy above the most stable polymorph in this dataset ... 1039 meV per atom
# Density of states at the Fermi level ... 0.395 states/eV per atom
# Energy of formation from the pure elements ... 2013 meV/atom
data_KAgPt3
_space_group_name_H-M_alt 'P m -3 m'
_space_group_IT_number 221
_space_group_name_Hall '-P 4 2 3'
_cell_length_a 4.941
_cell_length_b 4.941
_cell_length_c 4.941
_cell_angle_alpha 90.00
_cell_angle_beta 90.00
_cell_angle_gamma 90.00
loop_
_atom_site_label
_atom_site_type_symbol
_atom_site_fract_x
_atom_site_fract_y
_atom_site_fract_z
_atom_site_occupancy
K1 K 0.000 0.000 0.000 1
Ag1 Ag 0.500 0.500 0.500 1
Pt1 Pt 0.000 0.000 0.500 1



Record 6
# FeMo2PIr, optimized geometry, DFT PBE-GGA
# E_tot ... -7.92 eV per atom
# Density of states at the Fermi level ... 1.194 states/eV per atom
# Energy of formation from the pure elements ... 954 meV/atom
data_FeMo2PIr
_space_group_name_H-M_alt 'P 4/m m m'
_space_group_IT_number 123
_space_group_name_Hall '-P 4 2'
_cell_length_a 4.465
_cell_length_b 4.465
_cell_length_c 4.020
_cell_angle_alpha 90.00
_cell_angle_beta 90.00
_cell_angle_gamma 90.00
loop_
_atom_site_label
_atom_site_type_symbol
_atom_site_fract_x
_atom_site_fract_y
_atom_site_fract_z
_atom_site_occupancy
Fe1 Fe 0.000 0.000 0.000 1
Mo1 Mo 0.000 0.500 0.000 1
P1 P 0.000 0.000 0.500 1
Ir1 Ir 0.500 0.500 0.500 1



Record 7
# ScSnCl2, optimized geometry, DFT PBE-GGA
# Formation energy from raw total energies ... -0.628 eV/atom
# E_tot ... -4.13 eV per atom
# Energy above the most stable polymorph in this dataset ... 595 meV per atom
# Density of states at the Fermi level ... 1.396 states/eV per atom
data_ScSnCl2
_space_group_name_H-M_alt 'I -4 2 d'
_space_group_IT_number 122
_space_group_name_Hall 'I -4 2bw'
_cell_length_a 6.736
_cell_length_b 6.736
_cell_length_c 11.806
_cell_angle_alpha 90.00
_cell_angle_beta 90.00
_cell_angle_gamma 90.00
loop_
_atom_site_label
_atom_site_type_symbol
_atom_site_fract_x
_atom_site_fract_y
_atom_site_fract_z
_atom_site_occupancy
Sc1 Sc 0.000 0.000 0.000 1
Sn1 Sn 0.000 0.000 0.500 1
Cl1 Cl 0.136 0.250 0.125 1



Record 8
# TlInGeCl6, optimized geometry, DFT PBE-GGA
# Formation energy from raw total energies ... -0.994 eV/atom
# E_tot ... -3.31 eV per atom
# Density of states at the Fermi level ... 0.000 states/eV per atom
data_TlInGeCl6
_space_group_name_H-M_alt 'P 3 1 2'
_space_group_IT_number 149
_cell_length_a 6.8607
_cell_length_b 6.8607
_cell_length_c 7.0669
_cell_angle_alpha 90.00
_cell_angle_beta 90.00
_cell_angle_gamma 120.00
loop_
_space_group_symop_operation_xyz
'x,y,z'
'-y,x-y,z'
'-x+y,-x,z'
'-y,-x,-z'
'-x+y,y,-z'
'x,x-y,-z'
loop_
_atom_site_label
_atom_site_type_symbol
_atom_site_fract_x
_atom_site_fract_y
_atom_site_fract_z
_atom_site_occupancy
Tl1 Tl 0.0000 0.0000 0.0000 1
In1 In 0.6667 0.3333 0.5000 1
Ge1 Ge 0.3333 0.6667 0.5000 1
Cl1 Cl 0.3773 0.0152 0.7098 1



Record 9
# Rb3Np2NiS6, optimized geometry, DFT PBE-GGA
# Formation energy from raw total energies ... -1.076 eV/atom
# E_tot ... -6.02 eV per atom
# Density of states at the Fermi level ... 1.977 states/eV per atom
data_Rb3Np2NiS6
_space_group_name_H-M_alt 'C 1 2/m 1'
_space_group_IT_number 12
_cell_length_a 6.842
_cell_length_b 11.940
_cell_length_c 7.976
_cell_angle_alpha 90.00
_cell_angle_beta 106.55
_cell_angle_gamma 90.00
loop_
_space_group_symop_operation_xyz
'x,y,z'
'-x,-y,-z'
'-x,y,-z'
'x,-y,z'
'x+1/2,y+1/2,z'
'-x+1/2,-y+1/2,-z'
'-x+1/2,y+1/2,-z'
'x+1/2,-y+1/2,z'
loop_
_atom_site_label
_atom_site_type_symbol
_atom_site_fract_x
_atom_site_fract_y
_atom_site_fract_z
_atom_site_occupancy
Rb1 Rb 0.000 0.000 0.000 1
Rb2 Rb 0.000 0.336 0.000 1
Np1 Np 0.000 0.167 0.500 1
Ni1 Ni 0.000 0.500 0.500 1
S1 S 0.226 0.335 0.687 1
S2 S 0.239 0.000 0.682 1



Record 10
# Rb2TmTlS4, optimized geometry, DFT PBE-GGA
# Formation energy from raw total energies ... -1.109 eV/atom
# E_tot ... -4.27 eV per atom
# Density of states at the Fermi level ... 0.507 states/eV per atom
data_Rb2TmTlS4
_space_group_name_H-M_alt 'C 1 2/c 1'
_space_group_IT_number 15
_cell_length_a 11.936
_cell_length_b 12.220
_cell_length_c 8.336
_cell_angle_alpha 90.00
_cell_angle_beta 133.96
_cell_angle_gamma 90.00
loop_
_space_group_symop_operation_xyz
'x,y,z'
'-x,-y,-z'
'-x,y,-z+1/2'
'x,-y,z+1/2'
'x+1/2,y+1/2,z'
'-x+1/2,-y+1/2,-z'
'-x+1/2,y+1/2,-z+1/2'
'x+1/2,-y+1/2,z+1/2'
loop_
_atom_site_label
_atom_site_type_symbol
_atom_site_fract_x
_atom_site_fract_y
_atom_site_fract_z
_atom_site_occupancy
Rb1 Rb 0.000 0.000 0.000 1
Rb2 Rb 0.250 0.250 0.000 1
Tm1 Tm 0.000 0.500 0.000 1
Tl1 Tl 0.250 0.250 0.500 1
S1 S 0.002 0.271 0.468 1
S2 S 0.209 0.489 0.458 1



Record 11
# Rb2LaReO6, optimized geometry, DFT PBE-GGA
# Formation energy from raw total energies ... -2.179 eV/atom
# E_tot ... -7.08 eV per atom
# Density of states at the Fermi level ... 0.000 states/eV per atom
data_Rb2LaReO6
_space_group_name_H-M_alt 'F m -3 m'
_space_group_IT_number 225
_space_group_name_Hall '-F 4 2 3'
_cell_length_a 8.666
_cell_length_b 8.666
_cell_length_c 8.666
_cell_angle_alpha 90.00
_cell_angle_beta 90.00
_cell_angle_gamma 90.00
loop_
_atom_site_label
_atom_site_type_symbol
_atom_site_fract_x
_atom_site_fract_y
_atom_site_fract_z
_atom_site_occupancy
Rb1 Rb 0.250 0.250 0.250 1
La1 La 0.000 0.000 0.000 1
Re1 Re 0.000 0.000 0.500 1
O1 O 0.000 0.000 0.280 1



Record 12
# SmHoTh3, optimized geometry, DFT PBE-GGA
# E_tot ... -5.93 eV per atom
# Density of states at the Fermi level ... 1.910 states/eV per atom
# Energy of formation from the pure elements ... 384 meV/atom
data_SmHoTh3
_space_group_name_H-M_alt 'I m m a'
_space_group_IT_number 74
_space_group_name_Hall '-I 2b 2'
_cell_length_a 9.973
_cell_length_b 11.821
_cell_length_c 5.998
_cell_angle_alpha 90.00
_cell_angle_beta 90.00
_cell_angle_gamma 90.00
loop_
_atom_site_label
_atom_site_type_symbol
_atom_site_fract_x
_atom_site_fract_y
_atom_site_fract_z
_atom_site_occupancy
Sm1 Sm 0.250 0.250 0.250 1
Ho1 Ho 0.000 0.250 0.694 1
Th1 Th 0.000 0.000 0.000 1
Th2 Th 0.169 0.000 0.500 1



Record 13
# CrIr5Rh2, optimized geometry, DFT PBE-GGA
# E_tot ... -8.70 eV per atom
# Density of states at the Fermi level ... 1.005 states/eV per atom
# Energy of formation from the pure elements ... -118 meV/atom
data_CrIr5Rh2
_space_group_name_H-M_alt 'I 4/m m m'
_space_group_IT_number 139
_space_group_name_Hall '-I 4 2'
_cell_length_a 3.836
_cell_length_b 3.836
_cell_length_c 15.360
_cell_angle_alpha 90.00
_cell_angle_beta 90.00
_cell_angle_gamma 90.00
loop_
_atom_site_label
_atom_site_type_symbol
_atom_site_fract_x
_atom_site_fract_y
_atom_site_fract_z
_atom_site_occupancy
Cr1 Cr 0.000 0.000 0.000 1
Ir1 Ir 0.000 0.000 0.500 1
Ir2 Ir 0.000 0.500 0.122 1
Rh1 Rh 0.000 0.000 0.252 1



Record 14
# SrTaO3, optimized geometry, DFT PBE-GGA
# Formation energy from raw total energies ... -2.750 eV/atom
# E_tot ... -8.43 eV per atom
# Density of states at the Fermi level ... 0.000 states/eV per atom
data_SrTaO3
_space_group_name_H-M_alt 'P 1 m 1'
_space_group_IT_number 6
_cell_length_a 6.136
_cell_length_b 3.741
_cell_length_c 6.421
_cell_angle_alpha 90.00
_cell_angle_beta 96.48
_cell_angle_gamma 90.00
loop_
_space_group_symop_operation_xyz
'x,y,z'
'x,-y,z'
loop_
_atom_site_label
_atom_site_type_symbol
_atom_site_fract_x
_atom_site_fract_y
_atom_site_fract_z
_atom_site_occupancy
Sr1 Sr 0.000 0.000 0.000 1
Sr2 Sr 0.446 0.000 0.673 1
Ta1 Ta 0.523 0.500 0.154 1
Ta2 Ta 0.918 0.500 0.498 1
O1 O 0.114 0.500 0.288 1
O2 O 0.154 0.500 0.736 1
O3 O 0.431 0.000 0.109 1
O4 O 0.574 0.500 0.463 1
O5 O 0.681 0.500 0.913 1
O6 O 0.869 0.000 0.580 1



Record 15
# Tm6Cd4Pb7, optimized geometry, DFT PBE-GGA
# E_tot ... -3.38 eV per atom
# Density of states at the Fermi level ... 1.207 states/eV per atom
# Energy of formation from the pure elements ... -56 meV/atom
data_Tm6Cd4Pb7
_space_group_name_H-M_alt 'I m -3 m'
_space_group_IT_number 229
_space_group_name_Hall '-I 4 2 3'
_cell_length_a 9.943
_cell_length_b 9.943
_cell_length_c 9.943
_cell_angle_alpha 90.00
_cell_angle_beta 90.00
_cell_angle_gamma 90.00
loop_
_atom_site_label
_atom_site_type_symbol
_atom_site_fract_x
_atom_site_fract_y
_atom_site_fract_z
_atom_site_occupancy
Tm1 Tm 0.000 0.000 0.295 1
Cd1 Cd 0.250 0.250 0.250 1
Pb1 Pb 0.000 0.000 0.000 1
Pb2 Pb 0.000 0.250 0.500 1



Record 16
# Be2VZn, optimized geometry, DFT PBE-GGA
# E_tot ... -3.95 eV per atom
# Density of states at the Fermi level ... 0.694 states/eV per atom
# Energy of formation from the pure elements ... 509 meV/atom
data_Be2VZn
_space_group_name_H-M_alt 'I -4 2 d'
_space_group_IT_number 122
_space_group_name_Hall 'I -4 2bw'
_cell_length_a 6.213
_cell_length_b 6.213
_cell_length_c 4.986
_cell_angle_alpha 90.00
_cell_angle_beta 90.00
_cell_angle_gamma 90.00
loop_
_atom_site_label
_atom_site_type_symbol
_atom_site_fract_x
_atom_site_fract_y
_atom_site_fract_z
_atom_site_occupancy
Be1 Be 0.235 0.250 0.125 1
V1 V 0.000 0.000 0.500 1
Zn1 Zn 0.000 0.000 0.000 1



Record 17
# Fe2HgSb, optimized geometry, DFT PBE-GGA
# Formation energy from raw total energies ... 0.582 eV/atom
# E_tot ... -4.76 eV per atom
# Density of states at the Fermi level ... 1.042 states/eV per atom
data_Fe2HgSb
_space_group_name_H-M_alt 'F m -3 m'
_space_group_IT_number 225
_space_group_name_Hall '-F 4 2 3'
_cell_length_a 6.271
_cell_length_b 6.271
_cell_length_c 6.271
_cell_angle_alpha 90.00
_cell_angle_beta 90.00
_cell_angle_gamma 90.00
loop_
_atom_site_label
_atom_site_type_symbol
_atom_site_fract_x
_atom_site_fract_y
_atom_site_fract_z
_atom_site_occupancy
Fe1 Fe 0.250 0.250 0.250 1
Hg1 Hg 0.000 0.000 0.000 1
Sb1 Sb 0.000 0.000 0.500 1



Record 18
# YCd2Br, optimized geometry, DFT PBE-GGA
# Formation energy from raw total energies ... -0.529 eV/atom
# E_tot ... -3.02 eV per atom
# Energy above the most stable polymorph in this dataset ... 0 meV per atom
# Density of states at the Fermi level ... 0.689 states/eV per atom
data_YCd2Br
_space_group_name_H-M_alt 'P 4 m m'
_space_group_IT_number 99
_cell_length_a 3.555
_cell_length_b 3.555
_cell_length_c 8.749
_cell_angle_alpha 90.00
_cell_angle_beta 90.00
_cell_angle_gamma 90.00
loop_
_space_group_symop_operation_xyz
'x,y,z'
'-y,x,z'
'-x,-y,z'
'y,-x,z'
'-x,y,z'
'y,x,z'
'x,-y,z'
'-y,-x,z'
loop_
_atom_site_label
_atom_site_type_symbol
_atom_site_fract_x
_atom_site_fract_y
_atom_site_fract_z
_atom_site_occupancy
Y1 Y 0.000 0.000 0.000 1
Cd1 Cd 0.000 0.000 0.568 1
Cd2 Cd 0.500 0.500 0.759 1
Br1 Br 0.500 0.500 0.193 1



Record 19
# SbTeP4, optimized geometry, DFT PBE-GGA
# Formation energy from raw total energies ... 0.546 eV/atom
# E_tot ... -4.27 eV per atom
# Density of states at the Fermi level ... 0.526 states/eV per atom
data_SbTeP4
_space_group_name_H-M_alt 'F -4 3 m'
_space_group_IT_number 216
_space_group_name_Hall 'F -4 2 3'
_cell_length_a 8.335
_cell_length_b 8.335
_cell_length_c 8.335
_cell_angle_alpha 90.00
_cell_angle_beta 90.00
_cell_angle_gamma 90.00
loop_
_atom_site_label
_atom_site_type_symbol
_atom_site_fract_x
_atom_site_fract_y
_atom_site_fract_z
_atom_site_occupancy
Sb1 Sb 0.000 0.000 0.000 1
Te1 Te 0.250 0.250 0.750 1
P1 P 0.095 0.095 0.405 1



Record 20
# LiPaIr2O8, optimized geometry, DFT PBE-GGA
# Formation energy from raw total energies ... -1.108 eV/atom
# E_tot ... -6.84 eV per atom
data_LiPaIr2O8
_space_group_name_H-M_alt 'P -3'
_space_group_IT_number 147
_cell_length_a 5.7750
_cell_length_b 5.7750
_cell_length_c 7.0774
_cell_angle_alpha 90.00
_cell_angle_beta 90.00
_cell_angle_gamma 120.00
loop_
_space_group_symop_operation_xyz
'x,y,z'
'-x,-y,-z'
'-y,x-y,z'
'y,-x+y,-z'
'-x+y,-x,z'
'x-y,x,-z'
loop_
_atom_site_label
_atom_site_type_symbol
_atom_site_fract_x
_atom_site_fract_y
_atom_site_fract_z
_atom_site_occupancy
Li1 Li 0.0000 0.0000 0.0000 1
Pa1 Pa 0.0000 0.0000 0.5000 1
Ir1 Ir 0.3333 0.6667 0.4484 1
O1 O 0.0791 0.3796 0.6258 1
O2 O 0.3333 0.6667 0.1953 1